1.
Entry from the Alexandria database: a relaxed structure of CsRbBiAu (GGA-PBE).

Geometry as extended XYZ:
```
4
Lattice="-0.684 -0.914 5.034 6.742 -0.517 -1.825 0.912 6.843 1.367" Properties=species:S:1:pos:R:3 pbc="T T T"
Cs 4.864 4.680 4.157
Rb 1.299 1.731 3.137
Bi 4.392 1.783 0.920
Au 5.030 1.162 3.540
```

Results
N(E_F): 1.21 states/eV/cell
total energy: -0.0944 Ha/atom
crystal system: monoclinic
symmetry: No. 8

---

2.
Entry from the Alexandria database: a relaxed structure of RbNiCl5 (GGA-PBE).

Geometry as extended XYZ:
```
7
Lattice="6.141 0.000 2.743 2.819 5.674 1.935 0.824 -1.490 6.402" Properties=species:S:1:pos:R:3 pbc="T T T"
Rb 4.321 0.000 1.930
Ni 5.861 2.092 5.973
Cl 6.663 0.851 4.341
Cl 7.836 2.092 6.855
Cl 5.181 3.333 7.660
Cl 4.090 0.822 6.131
Cl 4.797 3.361 4.548
```

Results
N(E_F): 5.25 states/eV/cell
total energy: -0.1109 Ha/atom
crystal system: orthorhombic
symmetry: No. 44

---

3.
Entry from the Alexandria database: a relaxed structure of TbPa2TiN6 (GGA-PBE).

Geometry as extended XYZ:
```
10
Lattice="-5.381 -1.443 1.451 -0.949 -4.605 3.323 -1.787 0.814 5.605" Properties=species:S:1:pos:R:3 pbc="T T T"
Tb -6.133 -4.321 7.223
Pa -4.084 -2.839 4.874
Pa -1.807 0.636 5.352
Ti -2.088 -1.824 1.864
N -3.841 -1.651 2.908
N -2.476 -4.496 4.804
N -6.113 -3.929 4.698
N -4.155 -3.175 7.131
N -5.247 -1.075 5.739
N -2.525 -1.433 5.772
```

Results
N(E_F): 8.95 states/eV/cell
total energy: -0.3491 Ha/atom
crystal system: trigonal
symmetry: No. 146

---

4.
Entry from the Alexandria database: a relaxed structure of Ni2AgGe (GGA-PBE).

Geometry as extended XYZ:
```
4
Lattice="-1.879 0.121 -2.207 1.195 -2.381 -1.147 -4.116 -3.656 3.303" Properties=species:S:1:pos:R:3 pbc="T T T"
Ni -3.257 -2.893 2.614
Ni -0.859 -0.763 0.689
Ge -0.342 -1.130 -1.677
Ag -2.400 -2.958 -0.026
```

Results
N(E_F): 1.64 states/eV/cell
total energy: -0.1770 Ha/atom
crystal system: tetragonal
symmetry: No. 123

---

5.
Entry from the Alexandria database: a relaxed structure of Pm3Pr2Dy5 (GGA-PBE).

Geometry as extended XYZ:
```
20
Lattice="6.879 0.000 0.000 3.440 11.593 2.866 3.440 5.840 10.417" Properties=species:S:1:pos:R:3 pbc="T T T"
Pm 1.720 0.000 0.000
Pm 5.159 0.000 0.000
Pm 6.879 9.562 10.243
Pm 6.879 7.872 3.040
Pm 10.319 12.414 6.501
Pm 3.440 5.020 6.783
Pr 6.879 14.640 12.391
Pr 6.879 2.794 0.892
Pr 10.319 15.832 10.827
Pr 3.440 1.602 2.457
Dy 5.159 8.717 6.642
Dy 8.599 8.717 6.642
Dy 8.599 13.048 9.942
Dy 8.599 4.386 3.342
Dy 5.159 4.386 3.342
Dy 5.159 13.048 9.942
Dy 3.440 7.042 4.330
Dy 10.319 10.392 8.954
Dy 6.879 6.043 5.640
Dy 6.879 11.390 7.643
```

Results
N(E_F): 30.96 states/eV/cell
total energy: -0.1579 Ha/atom
crystal system: orthorhombic
symmetry: No. 72

---

6.
Entry from the Alexandria database: a relaxed structure of K2ThPO6 (GGA-PBE).

Geometry as extended XYZ:
```
10
Lattice="5.738 0.000 0.000 0.000 6.259 0.000 0.000 -3.130 5.421" Properties=species:S:1:pos:R:3 pbc="T T T"
K 0.450 0.000 3.614
K 5.288 3.130 1.807
Th 2.869 0.000 0.000
P 0.000 0.000 0.000
O 4.708 0.000 1.404
O 4.708 -1.914 4.719
O 4.708 1.914 4.719
O 1.030 5.043 0.702
O 1.030 1.216 0.702
O 1.030 3.130 4.017
```

Results
N(E_F): 3.28 states/eV/cell
total energy: -0.2421 Ha/atom
crystal system: trigonal
symmetry: No. 164

---

7.
Entry from the Alexandria database: a relaxed structure of MgCd2Tc (GGA-PBE).

Geometry as extended XYZ:
```
4
Lattice="-2.149 -1.843 4.425 -0.015 -5.248 0.243 3.682 3.597 -1.050" Properties=species:S:1:pos:R:3 pbc="T T T"
Cd 0.000 0.000 0.000
Cd 1.293 -2.598 0.764
Mg -1.082 -3.545 2.334
Tc 0.225 -0.895 2.855
```

Results
N(E_F): 3.54 states/eV/cell
total energy: -0.1159 Ha/atom
crystal system: tetragonal
symmetry: No. 119

---

8.
Entry from the Alexandria database: a relaxed structure of GdPaZnGa (GGA-PBE).

Geometry as extended XYZ:
```
4
Lattice="5.050 0.000 0.000 2.525 4.373 0.000 2.525 1.458 4.123" Properties=species:S:1:pos:R:3 pbc="T T T"
Gd 5.050 2.915 2.062
Zn 7.575 4.373 3.092
Pa 0.000 0.000 0.000
Ga 2.525 1.458 1.031
```

Results
N(E_F): 5.98 states/eV/cell
total energy: -0.2625 Ha/atom
crystal system: cubic
symmetry: No. 216

---

Summary of theoretical density in g cm⁻³
4.4 2.5 8.9 9.2 7.1 3.7 7.8 9.5
(order as listed above)